Density functional theory data (GGA-PBE) for crystalline PaB2HO6 at its relaxed geometry.

Computed properties:
Crystal system: monoclinic
Energy, eV/atom: -8.08

abc: 4.3688 6.7170 6.7170
angles: 100.37 78.72 78.72
Closest atoms and distances in Å follow each position.
Sites, in units of the cell vectors:
H1 0.7500 0.0940 0.9060  2 O 1.22
H2 0.2500 0.9060 0.0940  2 O 1.22
Pa1 0.7500 0.7211 0.2789  4 O 2.05-2.26
Pa2 0.2500 0.2789 0.7211  4 O 2.05-2.26
B1 0.3924 0.3266 0.1893  4 O 1.46-1.52
B2 0.8924 0.1893 0.3266  4 O 1.46-1.52
B3 0.6076 0.6734 0.8107  4 O 1.46-1.52
B4 0.1076 0.8107 0.6734  4 O 1.46-1.52
O1 0.5288 0.8075 0.0193  1 H 1.22
O2 0.2028 0.5288 0.1681  1 B 1.49
O3 0.9712 0.9807 0.1925  1 H 1.22
O4 0.4712 0.1925 0.9807  1 H 1.22
O5 0.7028 0.1681 0.5288  1 B 1.49
O6 0.6849 0.3601 0.2573  2 B 1.48-1.52
O7 0.8151 0.7427 0.6399  2 B 1.48-1.52
O8 0.7972 0.4712 0.8319  1 B 1.49
O9 0.0288 0.0193 0.8075  1 H 1.22
O10 0.1849 0.2573 0.3601  2 B 1.48-1.52
O11 0.3151 0.6399 0.7427  2 B 1.48-1.52
O12 0.2972 0.8319 0.4712  1 B 1.49